Compound: NaIn2HgF
Source: the Alexandria database
Functional: GGA-PBE
Structure: relaxed

## Properties
SG: No. 123
energy relative to the elements, uncorrected: -0.30 eV/atom
calculated volume: 159 Å³ per cell

a = 5.600 Å, b = 5.069 Å, c = 5.600 Å
α = 90.00°, β = 90.00°, γ = 90.00°
Element x y z (fractional)
In1 0.000 0.000 0.500
In2 0.500 0.000 0.000
Na1 0.500 0.500 0.500
Hg1 0.000 0.000 0.000
F1 0.000 0.500 0.000

Compound: YMnW4
Source: the Alexandria database
Functional: GGA-PBE
Structure: relaxed

## Properties
SG: No. 216
calculated volume: 112 Å³ per cell
formation enthalpy at 0 K: 2.39 eV/f.u.

a = 5.403 Å, b = 5.403 Å, c = 5.403 Å
α = 60.00°, β = 60.00°, γ = 60.00°
Site moments in Bohr magnetons follow the coordinates.
Element x y z (fractional)
Y1 0.250 0.250 0.250  -0.10
W1 0.126 0.625 0.625  -0.14
W2 0.625 0.625 0.126  -0.14
W3 0.625 0.625 0.625  -0.14
W4 0.625 0.126 0.625  -0.14
Mn1 0.000 0.000 0.000  3.44

Compound: Y6AsP3Se2
Source: the Alexandria database
Functional: GGA-PBE
Structure: relaxed

## Properties
SG: No. 12
energy relative to the elements, uncorrected: -1.74 eV/atom
calculated volume: 284 Å³ per cell

a = 4.048 Å, b = 8.141 Å, c = 9.093 Å
α = 103.40°, β = 102.86°, γ = 90.00°
Element x y z (fractional)
Y1 0.996 0.252 0.993
Y2 0.332 0.929 0.664
Y3 0.661 0.595 0.323
Y4 0.339 0.405 0.677
Y5 0.668 0.071 0.336
Y6 0.004 0.748 0.007
P1 0.500 0.500 0.000
P2 0.168 0.833 0.336
P3 0.832 0.167 0.664
Se1 0.168 0.336 0.336
Se2 0.832 0.664 0.664
As1 0.500 0.000 0.000

Compound: BaTlSN2
Source: the Alexandria database
Functional: GGA-PBE
Structure: relaxed

## Properties
SG: No. 123
energy relative to the elements, uncorrected: 1.18 eV/atom
calculated volume: 171 Å³ per cell

a = 5.305 Å, b = 5.305 Å, c = 6.065 Å
α = 90.00°, β = 90.00°, γ = 90.00°
Site moments in Bohr magnetons follow the coordinates.
Element x y z (fractional)
Tl1 0.500 0.500 0.500  0.00
Ba1 0.000 0.000 0.000  0.05
N1 0.500 0.000 0.000  1.43
N2 0.000 0.500 0.000  1.43
S1 0.000 0.000 0.500  0.23

Compound: KIn4Au
Source: the Alexandria database
Functional: GGA-PBE
Structure: relaxed

## Properties
SG: No. 51
calculated volume: 339 Å³ per cell
formation enthalpy at 0 K: -1.02 eV/f.u.

a = 4.463 Å, b = 8.460 Å, c = 8.970 Å
α = 90.00°, β = 90.00°, γ = 90.00°
Element x y z (fractional)
In1 0.500 0.070 0.250
In2 0.500 0.930 0.750
In3 0.000 0.000 0.000
In4 0.500 0.703 0.059
In5 0.500 0.297 0.559
In6 0.000 0.000 0.500
In7 0.500 0.297 0.941
In8 0.500 0.703 0.441
Au1 0.000 0.201 0.750
Au2 0.000 0.799 0.250
K1 0.000 0.598 0.750
K2 0.000 0.402 0.250

Compound: LaZrSc2
Source: the Alexandria database
Functional: GGA-PBE
Structure: relaxed

## Properties
SG: No. 8
calculated volume: 105 Å³ per cell
formation enthalpy at 0 K: 0.39 eV/f.u.

a = 5.751 Å, b = 5.751 Å, c = 5.851 Å
α = 82.57°, β = 82.57°, γ = 33.23°
Element x y z (fractional)
Zr1 0.495 0.495 0.515
Sc1 0.752 0.752 0.745
Sc2 0.002 0.002 0.987
La1 0.251 0.251 0.253

Compound: NaNb2NiP
Source: the Alexandria database
Functional: GGA-PBE
Structure: relaxed

## Properties
SG: No. 123
calculated volume: 91 Å³ per cell
formation enthalpy at 0 K: 9.59 eV/f.u.

a = 4.737 Å, b = 4.063 Å, c = 4.737 Å
α = 90.00°, β = 90.00°, γ = 90.00°
Element x y z (fractional)
Nb1 0.500 0.000 0.000
Nb2 0.000 0.000 0.500
P1 0.500 0.500 0.500
Na1 0.000 0.000 0.000
Ni1 0.000 0.500 0.000

Compound: La2YCo
Source: the Alexandria database
Functional: GGA-PBE
Structure: relaxed

## Properties
SG: No. 160
calculated volume: 121 Å³ per cell
formation enthalpy at 0 K: -0.05 eV/f.u.

a = 9.674 Å, b = 9.674 Å, c = 9.674 Å
α = 22.98°, β = 22.98°, γ = 22.98°
Element x y z (fractional)
La1 0.030 0.030 0.030
La2 0.247 0.247 0.247
Y1 0.473 0.473 0.473
Co1 0.750 0.750 0.750

Compound: BP2PbO
Source: the Alexandria database
Functional: GGA-PBE
Structure: relaxed

## Properties
SG: No. 123
energy relative to the elements, uncorrected: 1.76 eV/atom
calculated volume: 115 Å³ per cell

a = 5.278 Å, b = 5.278 Å, c = 4.143 Å
α = 90.00°, β = 90.00°, γ = 90.00°
Element x y z (fractional)
O1 0.000 0.000 0.500
Pb1 0.000 0.000 0.000
B1 0.500 0.500 0.500
P1 0.500 0.000 0.000
P2 0.000 0.500 0.000

Compound: LaPmH6Pt2
Source: the Alexandria database
Functional: GGA-PBE
Structure: relaxed

## Properties
SG: No. 15
calculated volume: 252 Å³ per cell
final energy: -4.739 eV per atom

a = 6.407 Å, b = 6.407 Å, c = 7.197 Å
α = 111.27°, β = 111.27°, γ = 91.99°
Element x y z (fractional)
H1 0.166 0.216 0.594
H2 0.412 0.620 0.100
H3 0.981 0.424 0.614
H4 0.424 0.981 0.114
H5 0.784 0.834 0.906
H6 0.576 0.019 0.886
H7 0.588 0.380 0.900
H8 0.380 0.588 0.400
H9 0.019 0.576 0.386
H10 0.834 0.784 0.406
H11 0.620 0.412 0.600
H12 0.216 0.166 0.094
Pm1 0.367 0.633 0.750
Pm2 0.633 0.367 0.250
Pt1 0.127 0.380 0.243
Pt2 0.380 0.127 0.743
Pt3 0.620 0.873 0.257
Pt4 0.873 0.620 0.757
La1 0.126 0.874 0.250
La2 0.874 0.126 0.750

Compound: Si2NiW
Source: the Alexandria database
Functional: GGA-PBE
Structure: relaxed

## Properties
SG: No. 139
energy relative to the elements, uncorrected: -0.05 eV/atom
calculated volume: 52 Å³ per cell

a = 4.630 Å, b = 4.630 Å, c = 4.630 Å
α = 133.13°, β = 133.13°, γ = 68.45°
Element x y z (fractional)
Ni1 0.750 0.250 0.500
Si1 0.500 0.500 0.000
Si2 0.000 0.000 0.000
W1 0.250 0.750 0.500

Compound: CuHSe2Br
Source: the Alexandria database
Functional: GGA-PBE
Structure: relaxed

## Properties
SG: No. 123
calculated volume: 122 Å³ per cell
final energy: -2.420 eV per atom

a = 4.791 Å, b = 4.791 Å, c = 5.298 Å
α = 90.00°, β = 90.00°, γ = 90.00°
Site moments in Bohr magnetons follow the coordinates.
Element x y z (fractional)
H1 0.500 0.500 0.500  0.37
Se1 0.000 0.500 0.000  0.53
Se2 0.500 0.000 0.000  0.53
Cu1 0.000 0.000 0.000  0.12
Br1 0.000 0.000 0.500  0.30

Compound: Pu2HfFe9
Source: the Alexandria database
Functional: GGA-PBE
Structure: relaxed

## Properties
SG: No. 166
calculated volume: 167 Å³ per cell
formation enthalpy at 0 K: 0.74 eV/f.u.

a = 4.800 Å, b = 4.800 Å, c = 8.794 Å
α = 74.16°, β = 74.16°, γ = 60.00°
Site moments in Bohr magnetons follow the coordinates.
Element x y z (fractional)
Fe1 0.580 0.580 0.761  1.51
Fe2 0.334 0.334 0.999  1.92
Fe3 0.500 0.500 0.500  -1.33
Fe4 0.420 0.420 0.239  1.51
Fe5 0.580 0.080 0.761  1.51
Fe6 0.420 0.920 0.239  1.51
Fe7 0.666 0.666 0.001  1.92
Fe8 0.080 0.580 0.761  1.51
Fe9 0.920 0.420 0.239  1.51
Pu1 0.853 0.853 0.442  4.36
Pu2 0.147 0.147 0.558  4.36
Hf1 0.000 0.000 0.000  -0.30

Compound: Si2TeSe
Source: the Alexandria database
Functional: GGA-PBE
Structure: relaxed

## Properties
SG: No. 216
energy relative to the elements, uncorrected: 0.64 eV/atom
calculated volume: 81 Å³ per cell

a = 4.853 Å, b = 4.853 Å, c = 4.853 Å
α = 60.00°, β = 60.00°, γ = 60.00°
Element x y z (fractional)
Si1 0.250 0.250 0.250
Si2 0.000 0.000 0.000
Se1 0.500 0.500 0.500
Te1 0.750 0.750 0.750

Compound: DyPaC
Source: the Alexandria database
Functional: GGA-PBE
Structure: relaxed

## Properties
SG: No. 63
calculated volume: 122 Å³ per cell
formation enthalpy at 0 K: -0.04 eV/f.u.

a = 3.318 Å, b = 5.339 Å, c = 7.225 Å
α = 90.00°, β = 90.00°, γ = 108.10°
Element x y z (fractional)
Dy1 0.760 0.519 0.250
Dy2 0.240 0.481 0.750
C1 0.036 0.073 0.250
C2 0.964 0.927 0.750
Pa1 0.500 0.000 0.500
Pa2 0.500 0.000 0.000

Compound: LiSc2Pd2
Source: the Alexandria database
Functional: GGA-PBE
Structure: relaxed

## Properties
SG: No. 127
calculated volume: 190 Å³ per cell
formation enthalpy at 0 K: -3.30 eV/f.u.

a = 7.480 Å, b = 7.480 Å, c = 3.400 Å
α = 90.00°, β = 90.00°, γ = 90.00°
Element x y z (fractional)
Li1 0.500 0.500 0.000
Li2 0.000 0.000 0.000
Pd1 0.138 0.362 0.000
Pd2 0.362 0.862 0.000
Pd3 0.638 0.138 0.000
Pd4 0.862 0.638 0.000
Sc1 0.841 0.341 0.500
Sc2 0.159 0.659 0.500
Sc3 0.341 0.159 0.500
Sc4 0.659 0.841 0.500

Compound: Pm8Sm2Dy3
Source: the Alexandria database
Functional: GGA-PBE
Structure: relaxed

## Properties
SG: No. 2
calculated volume: 437 Å³ per cell
formation enthalpy at 0 K: 0.20 eV/f.u.

a = 6.275 Å, b = 6.269 Å, c = 11.456 Å
α = 79.48°, β = 90.03°, γ = 99.59°
Element x y z (fractional)
Pm1 0.617 0.693 0.228
Pm2 0.845 0.077 0.694
Pm3 0.692 0.154 0.383
Pm4 0.383 0.307 0.772
Pm5 0.308 0.846 0.617
Pm6 0.155 0.923 0.306
Pm7 0.921 0.539 0.848
Pm8 0.079 0.461 0.152
Dy1 0.539 0.230 0.076
Dy2 0.000 0.000 0.000
Dy3 0.461 0.770 0.924
Sm1 0.769 0.615 0.539
Sm2 0.231 0.385 0.461

Compound: Pu12InRh6
Source: the Alexandria database
Functional: GGA-PBE
Structure: relaxed

## Properties
SG: No. 166
calculated volume: 467 Å³ per cell
formation enthalpy at 0 K: -2.20 eV/f.u.

a = 8.136 Å, b = 8.136 Å, c = 8.136 Å
α = 105.34°, β = 105.34°, γ = 105.34°
Site moments in Bohr magnetons follow the coordinates.
Element x y z (fractional)
Pu1 0.157 0.410 0.410  5.32
Pu2 0.410 0.157 0.410  5.32
Pu3 0.410 0.410 0.157  5.32
Pu4 0.843 0.590 0.590  5.32
Pu5 0.114 0.886 0.500  5.33
Pu6 0.500 0.114 0.886  5.33
Pu7 0.590 0.843 0.590  5.32
Pu8 0.114 0.500 0.886  5.33
Pu9 0.500 0.886 0.114  5.33
Pu10 0.590 0.590 0.843  5.32
Pu11 0.886 0.500 0.114  5.33
Pu12 0.886 0.114 0.500  5.33
Rh1 0.717 0.289 0.717  -0.28
Rh2 0.711 0.283 0.283  -0.28
Rh3 0.283 0.283 0.711  -0.28
Rh4 0.717 0.717 0.289  -0.28
Rh5 0.283 0.711 0.283  -0.28
Rh6 0.289 0.717 0.717  -0.28
In1 0.000 0.000 0.000  -0.07

Compound: SrCuPO4
Source: the Alexandria database
Functional: GGA-PBE
Structure: relaxed

## Properties
SG: No. 216
energy relative to the elements, uncorrected: -1.83 eV/atom
calculated volume: 128 Å³ per cell

a = 5.660 Å, b = 5.660 Å, c = 5.660 Å
α = 60.00°, β = 60.00°, γ = 60.00°
Site moments in Bohr magnetons follow the coordinates.
Element x y z (fractional)
O1 0.361 0.361 0.918  0.00
O2 0.918 0.361 0.361  0.00
O3 0.361 0.918 0.361  0.00
O4 0.361 0.361 0.361  0.00
P1 0.250 0.250 0.250  0.00
Sr1 0.750 0.750 0.750  0.00
Cu1 0.500 0.500 0.500  0.09

Compound: CaCe2Hf
Source: the Alexandria database
Functional: GGA-PBE
Structure: relaxed

## Properties
SG: No. 166
calculated volume: 115 Å³ per cell
formation enthalpy at 0 K: 1.10 eV/f.u.

a = 3.297 Å, b = 3.297 Å, c = 12.350 Å
α = 82.33°, β = 82.33°, γ = 60.00°
Site moments in Bohr magnetons follow the coordinates.
Element x y z (fractional)
Ce1 0.908 0.908 0.277  0.53
Ce2 0.092 0.092 0.723  0.53
Ca1 0.000 0.000 0.000  -0.01
Hf1 0.500 0.500 0.500  0.00

Compound: In2ReAs
Source: the Alexandria database
Functional: GGA-PBE
Structure: relaxed

## Properties
SG: No. 216
calculated volume: 77 Å³ per cell
formation enthalpy at 0 K: 3.16 eV/f.u.

a = 4.785 Å, b = 4.785 Å, c = 4.785 Å
α = 60.00°, β = 60.00°, γ = 60.00°
Element x y z (fractional)
In1 0.000 0.000 0.000
In2 0.250 0.250 0.250
As1 0.500 0.500 0.500
Re1 0.750 0.750 0.750

Compound: Cr3WS
Source: the Alexandria database
Functional: GGA-PBE
Structure: relaxed

## Properties
SG: No. 221
energy relative to the elements, uncorrected: 1.61 eV/atom
calculated volume: 106 Å³ per cell

a = 4.737 Å, b = 4.737 Å, c = 4.737 Å
α = 90.00°, β = 90.00°, γ = 90.00°
Site moments in Bohr magnetons follow the coordinates.
Element x y z (fractional)
Cr1 0.500 0.000 0.000  3.70
Cr2 0.000 0.500 0.000  3.20
Cr3 0.000 0.000 0.500  2.81
W1 0.000 0.000 0.000  -1.06
S1 0.500 0.500 0.500  -0.05

Compound: AcTbNiPt
Source: the Alexandria database
Functional: GGA-PBE
Structure: relaxed

## Properties
SG: No. 216
calculated volume: 94 Å³ per cell
formation enthalpy at 0 K: -2.42 eV/f.u.

a = 5.108 Å, b = 5.108 Å, c = 5.108 Å
α = 60.00°, β = 60.00°, γ = 60.00°
Element x y z (fractional)
Ni1 0.250 0.250 0.250
Pt1 0.750 0.750 0.750
Ac1 0.500 0.500 0.500
Tb1 0.000 0.000 0.000

Compound: Ag5Pt2F12
Source: the Alexandria database
Functional: GGA-PBE
Structure: relaxed

## Properties
SG: No. 12
energy relative to the elements, uncorrected: -1.08 eV/atom
calculated volume: 308 Å³ per cell

a = 6.793 Å, b = 7.335 Å, c = 7.474 Å
α = 108.62°, β = 90.00°, γ = 117.59°
Element x y z (fractional)
F1 0.378 0.276 0.552
F2 0.513 0.027 0.173
F3 0.898 0.276 0.552
F4 0.096 0.678 0.940
F5 0.487 0.973 0.827
F6 0.102 0.724 0.448
F7 0.985 0.971 0.831
F8 0.015 0.029 0.169
F9 0.904 0.322 0.060
F10 0.582 0.678 0.940
F11 0.418 0.322 0.060
F12 0.622 0.724 0.448
Ag1 0.306 0.612 0.199
Ag2 0.694 0.388 0.801
Ag3 0.274 0.548 0.565
Ag4 0.000 0.000 0.500
Ag5 0.726 0.452 0.435
Pt1 0.749 0.000 0.000
Pt2 0.251 0.000 0.000

Compound: Ho2ErSn
Source: the Alexandria database
Functional: GGA-PBE
Structure: relaxed

## Properties
SG: No. 44
calculated volume: 111 Å³ per cell
formation enthalpy at 0 K: -1.54 eV/f.u.

a = 4.653 Å, b = 4.643 Å, c = 6.099 Å
α = 112.38°, β = 112.42°, γ = 90.00°
Element x y z (fractional)
Sn1 0.500 0.500 0.000
Er1 0.750 0.250 0.499
Ho1 0.000 0.000 0.000
Ho2 0.250 0.750 0.501

Number 1: spin magnetization 0.00 μB per atom. Number 2: spin magnetization 0.43 μB per atom. Number 3: spin magnetization 0.00 μB per atom. Number 4: spin magnetization 0.96 μB per atom. Number 5: spin magnetization 0.00 μB per atom. Number 6: spin magnetization 0.00 μB per atom. Number 7: spin magnetization 0.00 μB per atom. Number 8: spin magnetization 0.00 μB per atom. Number 9: spin magnetization 0.00 μB per atom. Number 10: spin magnetization 0.00 μB per atom. Number 11: spin magnetization 0.00 μB per atom. Number 12: spin magnetization 0.61 μB per atom. Number 13: spin magnetization 1.66 μB per atom. Number 14: spin magnetization 0.00 μB per atom. Number 15: spin magnetization 0.00 μB per atom. Number 16: spin magnetization 0.00 μB per atom. Number 17: spin magnetization 0.00 μB per atom. Number 18: spin magnetization 3.43 μB per atom. Number 19: spin magnetization 0.01 μB per atom. Number 20: spin magnetization 0.33 μB per atom. Number 21: spin magnetization 0.00 μB per atom. Number 22: spin magnetization 1.94 μB per atom. Number 23: spin magnetization 0.00 μB per atom. Number 24: spin magnetization 0.00 μB per atom. Number 25: spin magnetization 0.00 μB per atom.